No. 1
Here is an optimized crystal structure of LaPr2Dy2Tm2 from the Alexandria database. Energies are from PBE.

Properties
The energy of formation is 116 meV per atom. For the volume, the calculation gives 234.6 Å³/cell.

a b c (Å): 5.8064 5.6829 10.2911
angles (deg): 59.23 90.00 120.72
Fractional coordinates of all 7 atoms:
1 La 0.0000 0.0000 0.5000
2 Pr 0.6890 0.3780 0.9697
3 Pr 0.3110 0.6220 0.0303
4 Dy 0.8623 0.7247 0.2096
5 Dy 0.1377 0.2753 0.7904
6 Tm 0.5873 0.1747 0.6181
7 Tm 0.4127 0.8253 0.3819



No. 2
Here is an optimized crystal structure of TeWSe from the Alexandria database. Energies are from PBE.

Properties
Its excess energy over the best structure of this formula in the dataset is 0.2231 eV per atom. For the volume, the calculation gives 74.6 Å³/cell. The raw formation energy is -0.10 eV per atom.

a b c (Å): 3.3979 3.3979 7.4572
angles (deg): 90.00 90.00 120.00
Fractional coordinates of all 3 atoms:
1 Se 0.0000 0.0000 0.9007
2 Te 0.6667 0.3333 0.4185
3 W 0.3333 0.6667 0.6808



No. 3
Here is an optimized crystal structure of SnPtIO2 from the Alexandria database. Energies are from PBE.

Properties
Its excess energy over the best structure of this formula in the dataset is 0.4168 eV per atom. For the volume, the calculation gives 96.8 Å³/cell. The raw formation energy is 0.18 eV per atom.

a b c (Å): 4.2713 4.2713 5.3036
angles (deg): 90.00 90.00 90.00
Fractional coordinates of all 5 atoms:
1 I 0.0000 0.0000 0.5000
2 O 0.0000 0.5000 0.0000
3 O 0.5000 0.0000 0.0000
4 Sn 0.5000 0.5000 0.5000
5 Pt 0.0000 0.0000 0.0000